[1]
The following is a DFT calculation (PBE) of a geometry-optimized PmGdGe4 structure.

Geometry as CIF:
```
data_PmGdGe4
_cell_length_a 8.037
_cell_length_b 8.037
_cell_length_c 8.037
_cell_angle_alpha 90.00
_cell_angle_beta 90.00
_cell_angle_gamma 90.00
_space_group_name_H-M_alt 'F -4 3 m'
_space_group_IT_number 216
_space_group_name_Hall 'F -4 2 3'
loop_
_atom_site_label
_atom_site_type_symbol
_atom_site_fract_x
_atom_site_fract_y
_atom_site_fract_z
_atom_site_occupancy
Pm1 Pm 0.000 0.000 0.000 1
Gd1 Gd 0.250 0.250 0.250 1
Ge1 Ge 0.125 0.125 0.625 1
```

Calculated values
total magnetization = 7.86 μB/f.u.
energy = -6.588 eV per atom

[2]
The following is a DFT calculation (PBE) of a geometry-optimized PmGdGe structure.

Geometry as CIF:
```
data_PmGdGe
_cell_length_a 7.045
_cell_length_b 7.045
_cell_length_c 7.045
_cell_angle_alpha 90.00
_cell_angle_beta 90.00
_cell_angle_gamma 90.00
_space_group_name_H-M_alt 'F -4 3 m'
_space_group_IT_number 216
_space_group_name_Hall 'F -4 2 3'
loop_
_atom_site_label
_atom_site_type_symbol
_atom_site_fract_x
_atom_site_fract_y
_atom_site_fract_z
_atom_site_occupancy
Pm1 Pm 0.000 0.000 0.000 1
Gd1 Gd 0.000 0.000 0.500 1
Ge1 Ge 0.250 0.250 0.750 1
```

Calculated values
total magnetization = 7.82 μB/f.u.
ΔE to the lowest computed polymorph = 0.0 meV/atom

[3]
The following is a DFT calculation (PBE) of a geometry-optimized PmGdGe structure.

Geometry as CIF:
```
data_PmGdGe
_cell_length_a 4.7655
_cell_length_b 4.7655
_cell_length_c 4.2242
_cell_angle_alpha 90.00
_cell_angle_beta 90.00
_cell_angle_gamma 120.00
_space_group_name_H-M_alt 'P 3 m 1'
_space_group_IT_number 156
loop_
_space_group_symop_operation_xyz
'x,y,z'
'-y,x-y,z'
'-x+y,-x,z'
'-y,-x,z'
'-x+y,y,z'
'x,x-y,z'
loop_
_atom_site_label
_atom_site_type_symbol
_atom_site_fract_x
_atom_site_fract_y
_atom_site_fract_z
_atom_site_occupancy
Pm1 Pm 0.0000 0.0000 0.0000 1
Gd1 Gd 0.3333 0.6667 0.4641 1
Ge1 Ge 0.6667 0.3333 0.6597 1
```

Calculated values
total magnetization = 7.25 μB/f.u.
ΔE to the lowest computed polymorph = 151.6 meV/atom

Question: The highest total magnetization belongs to which entry?
Answer: PmGdGe4

Question: Look up the total magnetization of the second one.
Answer: 7.82 μB/f.u.

Please write out number 3 again, unchanged.
The following is a DFT calculation (PBE) of a geometry-optimized PmGdGe structure.

Geometry as CIF:
```
data_PmGdGe
_cell_length_a 4.7655
_cell_length_b 4.7655
_cell_length_c 4.2242
_cell_angle_alpha 90.00
_cell_angle_beta 90.00
_cell_angle_gamma 120.00
_space_group_name_H-M_alt 'P 3 m 1'
_space_group_IT_number 156
loop_
_space_group_symop_operation_xyz
'x,y,z'
'-y,x-y,z'
'-x+y,-x,z'
'-y,-x,z'
'-x+y,y,z'
'x,x-y,z'
loop_
_atom_site_label
_atom_site_type_symbol
_atom_site_fract_x
_atom_site_fract_y
_atom_site_fract_z
_atom_site_occupancy
Pm1 Pm 0.0000 0.0000 0.0000 1
Gd1 Gd 0.3333 0.6667 0.4641 1
Ge1 Ge 0.6667 0.3333 0.6597 1
```

Calculated values
total magnetization = 7.25 μB/f.u.
ΔE to the lowest computed polymorph = 151.6 meV/atom